1.
# LaAgHgAu

A relaxed LaAgHgAu crystal (PBE-GGA, OQMD).

abc: 7.249 7.249 7.249
angles: 90.00 90.00 90.00
Fractional positions:
La1 0.000 0.000 0.000
La2 0.000 0.500 0.500
La3 0.500 0.000 0.500
La4 0.500 0.500 0.000
Ag1 0.000 0.000 0.500
Ag2 0.000 0.500 0.000
Ag3 0.500 0.000 0.000
Ag4 0.500 0.500 0.500
Hg1 0.250 0.250 0.250
Hg2 0.250 0.750 0.750
Hg3 0.750 0.250 0.750
Hg4 0.750 0.750 0.250
Au1 0.250 0.250 0.750
Au2 0.250 0.750 0.250
Au3 0.750 0.250 0.250
Au4 0.750 0.750 0.750

Calculated values
- Offset from the most stable computed form: 0.0 meV per atom
- Total magnetization: 0.03 Bohr magnetons per cell
- Crystal system: cubic
- V: 381 Å³ per cell
- DFT formation energy: -1.90 eV/f.u.

2.
# LaAgHgAu

A relaxed LaAgHgAu crystal (PBE-GGA, OQMD).

abc: 7.230 7.230 7.230
angles: 90.00 90.00 90.00
Fractional positions:
La1 0.000 0.000 0.000
La2 0.000 0.500 0.500
La3 0.500 0.000 0.500
La4 0.500 0.500 0.000
Ag1 0.250 0.250 0.250
Ag2 0.250 0.750 0.750
Ag3 0.750 0.250 0.750
Ag4 0.750 0.750 0.250
Hg1 0.000 0.000 0.500
Hg2 0.000 0.500 0.000
Hg3 0.500 0.000 0.000
Hg4 0.500 0.500 0.500
Au1 0.250 0.250 0.750
Au2 0.250 0.750 0.250
Au3 0.750 0.250 0.250
Au4 0.750 0.750 0.750

Calculated values
- Offset from the most stable computed form: 20.9 meV per atom
- Total magnetization: 0.11 Bohr magnetons per cell
- Crystal system: cubic
- V: 378 Å³ per cell
- DFT formation energy: -1.82 eV/f.u.

3.
# Pr3Mg3AgHgAu

A relaxed Pr3Mg3AgHgAu crystal (PBE-GGA, OQMD).

abc: 7.924 7.924 4.270
angles: 90.00 90.00 120.00
Fractional positions:
Pr1 0.011 0.591 0.000
Pr2 0.409 0.420 0.000
Pr3 0.580 0.989 0.000
Mg1 0.002 0.241 0.500
Mg2 0.239 0.998 0.500
Mg3 0.759 0.761 0.500
Ag1 0.000 0.000 0.000
Hg1 0.667 0.333 0.500
Au1 0.333 0.667 0.500

Calculated values
- Total magnetization: 0.03 Bohr magnetons per cell
- Crystal system: hexagonal
- V: 232 Å³ per cell

4.
# Mg2Sc2AgHgAu2

A relaxed Mg2Sc2AgHgAu2 crystal (PBE-GGA, OQMD).

abc: 4.781 4.781 6.775
angles: 90.00 90.00 90.00
Fractional positions:
Mg1 0.000 0.500 0.245
Mg2 0.500 0.000 0.755
Sc1 0.000 0.500 0.753
Sc2 0.500 0.000 0.247
Ag1 0.500 0.500 0.000
Hg1 0.000 0.000 0.500
Au1 0.000 0.000 0.000
Au2 0.500 0.500 0.500

Calculated values
- Total magnetization: 0.00 Bohr magnetons per cell
- Crystal system: tetragonal
- V: 155 Å³ per cell

5.
# Y3Mg2AgHgAu2

A relaxed Y3Mg2AgHgAu2 crystal (PBE-GGA, OQMD).

abc: 3.972 7.726 7.726
angles: 119.33 90.00 90.00
Fractional positions:
Y1 0.000 0.000 0.000
Y2 0.000 0.164 0.563
Y3 0.000 0.563 0.164
Mg1 0.500 0.577 0.828
Mg2 0.500 0.828 0.577
Ag1 0.000 0.592 0.592
Hg1 0.500 0.319 0.319
Au1 0.500 0.236 0.889
Au2 0.500 0.889 0.236

Calculated values
- Total magnetization: 0.00 Bohr magnetons per cell
- Crystal system: orthorhombic
- V: 207 Å³ per cell

6.
# Nd3AgHg3Au2

A relaxed Nd3AgHg3Au2 crystal (PBE-GGA, OQMD).

abc: 8.088 8.088 3.896
angles: 90.00 90.00 120.00
Fractional positions:
Nd1 0.000 0.404 0.000
Nd2 0.404 0.000 0.000
Nd3 0.596 0.596 0.000
Ag1 0.000 0.000 0.000
Hg1 0.000 0.733 0.500
Hg2 0.267 0.267 0.500
Hg3 0.733 0.000 0.500
Au1 0.333 0.667 0.500
Au2 0.667 0.333 0.500

Calculated values
- Total magnetization: 0.01 Bohr magnetons per cell
- Crystal system: hexagonal
- V: 221 Å³ per cell
- DFT formation energy: -5.28 eV/f.u.

7.
# Nd3Ag2Hg3Au

A relaxed Nd3Ag2Hg3Au crystal (PBE-GGA, OQMD).

abc: 8.058 8.058 3.941
angles: 90.00 90.00 120.00
Fractional positions:
Nd1 0.000 0.390 0.000
Nd2 0.390 0.000 0.000
Nd3 0.610 0.610 0.000
Ag1 0.333 0.667 0.500
Ag2 0.667 0.333 0.500
Hg1 0.000 0.724 0.500
Hg2 0.276 0.276 0.500
Hg3 0.724 0.000 0.500
Au1 0.000 0.000 0.000

Calculated values
- Total magnetization: 0.01 Bohr magnetons per cell
- Crystal system: hexagonal
- V: 222 Å³ per cell
- DFT formation energy: -3.95 eV/f.u.

8.
# Nd3AgHg3PdAu

A relaxed Nd3AgHg3PdAu crystal (PBE-GGA, OQMD).

abc: 8.010 8.010 3.897
angles: 90.00 90.00 120.00
Fractional positions:
Nd1 0.007 0.410 0.000
Nd2 0.403 0.993 0.000
Nd3 0.590 0.597 0.000
Ag1 0.000 0.000 0.000
Hg1 0.005 0.736 0.500
Hg2 0.264 0.269 0.500
Hg3 0.731 0.995 0.500
Pd1 0.333 0.667 0.500
Au1 0.667 0.333 0.500

Calculated values
- Total magnetization: 0.00 Bohr magnetons per cell
- Crystal system: hexagonal
- V: 217 Å³ per cell
- DFT formation energy: -5.41 eV/f.u.

no.,VASP energy (eV for the cell shown)
1,-52.86
2,-52.53
3,-29.32
4,-29.84
5,-37.52
6,-29.82
7,-28.05
8,-31.86